Record 1
Y2AlO | PBE-GGA | relaxed

Unit cell a=3.428 b=3.428 c=26.230 alpha=90.00 beta=90.00 gamma=120.00
Positions (direct):
Y 0.000 0.000 0.114
Y 0.000 0.000 0.886
Y 0.333 0.667 0.552
Y 0.333 0.667 0.781
Y 0.667 0.333 0.219
Y 0.667 0.333 0.448
Al 0.000 0.000 0.000
Al 0.333 0.667 0.667
Al 0.667 0.333 0.333
O 0.000 0.000 0.500
O 0.333 0.667 0.167
O 0.667 0.333 0.833

Output
- DOS at the Fermi energy (states/eV/atom) = 0.70
- total magnetization (μB per atom) = 0.000
- electronic total energy (eV per formula unit) = -25.93
- uncorrected formation energy (eV/atom) = -1.07


Record 2
Y4Al2O | PBE-GGA | relaxed

Unit cell a=4.601 b=4.601 c=16.006 alpha=90.00 beta=90.00 gamma=90.00
Positions (direct):
Y 0.000 0.000 0.171
Y 0.000 0.000 0.829
Y 0.000 0.500 0.000
Y 0.000 0.500 0.500
Y 0.500 0.000 0.000
Y 0.500 0.000 0.500
Y 0.500 0.500 0.329
Y 0.500 0.500 0.671
Al 0.000 0.000 0.364
Al 0.000 0.000 0.636
Al 0.500 0.500 0.136
Al 0.500 0.500 0.864
O 0.000 0.000 0.000
O 0.500 0.500 0.500

Output
- DOS at the Fermi energy (states/eV/atom) = 0.44
- total magnetization (μB per atom) = 0.000
- electronic total energy (eV per formula unit) = -45.45
- uncorrected formation energy (eV/atom) = -1.02


Record 3
YAlO3 | PBE-GGA | relaxed

Unit cell a=5.718 b=5.718 c=5.718 alpha=54.73 beta=54.73 gamma=54.73
Positions (direct):
Y 0.131 0.131 0.131
Y 0.869 0.869 0.869
Al 0.344 0.344 0.344
Al 0.656 0.656 0.656
O 0.060 0.469 0.696
O 0.304 0.940 0.531
O 0.469 0.696 0.060
O 0.531 0.304 0.940
O 0.696 0.060 0.469
O 0.940 0.531 0.304

Output
- DOS at the Fermi energy (states/eV/atom) = 0.00
- total magnetization (μB per atom) = 0.000
- electronic total energy (eV per formula unit) = -40.81
- uncorrected formation energy (eV/atom) = -3.15


Record 4
YAlO3 | PBE-GGA | relaxed

Unit cell a=6.711 b=6.711 c=10.161 alpha=90.00 beta=90.00 gamma=59.87
Positions (direct):
Y 0.000 0.000 0.000
Y 0.000 0.000 0.500
Y 0.331 0.331 0.000
Y 0.331 0.331 0.500
Y 0.669 0.669 0.000
Y 0.669 0.669 0.500
Al 0.065 0.666 0.250
Al 0.334 0.935 0.250
Al 0.393 0.607 0.750
Al 0.607 0.393 0.250
Al 0.666 0.065 0.750
Al 0.935 0.334 0.750
O 0.022 0.334 0.588
O 0.022 0.334 0.912
O 0.072 0.928 0.250
O 0.313 0.687 0.584
O 0.313 0.687 0.916
O 0.334 0.022 0.088
O 0.334 0.022 0.412
O 0.336 0.405 0.250
O 0.405 0.336 0.750
O 0.595 0.664 0.250
O 0.664 0.595 0.750
O 0.666 0.978 0.588
O 0.666 0.978 0.912
O 0.687 0.313 0.084
O 0.687 0.313 0.416
O 0.928 0.072 0.750
O 0.978 0.666 0.088
O 0.978 0.666 0.412

Output
- DOS at the Fermi energy (states/eV/atom) = 0.00
- total magnetization (μB per atom) = 0.000
- electronic total energy (eV per formula unit) = -41.39
- uncorrected formation energy (eV/atom) = -3.26


Record 5
Y6Al2O | PBE-GGA | relaxed

Unit cell a=6.777 b=6.777 c=6.777 alpha=119.95 beta=119.95 gamma=90.08
Positions (direct):
Y 0.248 0.248 0.000
Y 0.248 0.248 0.495
Y 0.248 0.752 0.000
Y 0.752 0.248 0.000
Y 0.752 0.752 0.000
Y 0.752 0.752 0.505
Al 0.250 0.750 0.500
Al 0.750 0.250 0.500
O 0.000 0.000 0.000

Output
- DOS at the Fermi energy (states/eV/atom) = 0.88
- total magnetization (μB per atom) = 0.000
- electronic total energy (eV per formula unit) = -58.45
- uncorrected formation energy (eV/atom) = -0.80


Record 6
Y6Al3O | PBE-GGA | relaxed

Unit cell a=9.132 b=9.132 c=6.231 alpha=90.00 beta=90.00 gamma=99.52
Positions (direct):
Y 0.086 0.914 0.500
Y 0.135 0.547 0.704
Y 0.232 0.317 0.183
Y 0.307 0.693 0.215
Y 0.317 0.232 0.683
Y 0.453 0.865 0.704
Y 0.547 0.135 0.204
Y 0.683 0.768 0.183
Y 0.693 0.307 0.715
Y 0.768 0.683 0.683
Y 0.865 0.453 0.204
Y 0.914 0.086 0.000
Al 0.009 0.765 0.031
Al 0.235 0.991 0.031
Al 0.485 0.515 0.915
Al 0.515 0.485 0.415
Al 0.765 0.009 0.531
Al 0.991 0.235 0.531
O 0.250 0.750 0.542
O 0.750 0.250 0.042

Output
- DOS at the Fermi energy (states/eV/atom) = 0.96
- total magnetization (μB per atom) = 0.000
- electronic total energy (eV per formula unit) = -62.84
- uncorrected formation energy (eV/atom) = -0.79


Record 7
Y2AlO | PBE-GGA | relaxed

Unit cell a=6.865 b=6.865 c=7.771 alpha=90.00 beta=90.00 gamma=90.00
Positions (direct):
Y 0.152 0.250 0.125
Y 0.250 0.652 0.375
Y 0.250 0.848 0.875
Y 0.348 0.250 0.625
Y 0.652 0.750 0.625
Y 0.750 0.152 0.875
Y 0.750 0.348 0.375
Y 0.848 0.750 0.125
Al 0.000 0.000 0.500
Al 0.000 0.500 0.750
Al 0.500 0.000 0.250
Al 0.500 0.500 0.000
O 0.000 0.000 0.000
O 0.000 0.500 0.250
O 0.500 0.000 0.750
O 0.500 0.500 0.500

Output
- DOS at the Fermi energy (states/eV/atom) = 0.94
- total magnetization (μB per atom) = 0.000
- electronic total energy (eV per formula unit) = -27.20
- uncorrected formation energy (eV/atom) = -1.39


Record 8
Y2AlO | PBE-GGA | relaxed

Unit cell a=6.955 b=6.955 c=6.955 alpha=90.00 beta=90.00 gamma=90.00
Positions (direct):
Y 0.250 0.250 0.250
Y 0.250 0.250 0.750
Y 0.250 0.750 0.250
Y 0.250 0.750 0.750
Y 0.750 0.250 0.250
Y 0.750 0.250 0.750
Y 0.750 0.750 0.250
Y 0.750 0.750 0.750
Al 0.000 0.000 0.000
Al 0.000 0.500 0.500
Al 0.500 0.000 0.500
Al 0.500 0.500 0.000
O 0.000 0.000 0.500
O 0.000 0.500 0.000
O 0.500 0.000 0.000
O 0.500 0.500 0.500

Output
- DOS at the Fermi energy (states/eV/atom) = 1.90
- total magnetization (μB per atom) = 0.000
- electronic total energy (eV per formula unit) = -23.57
- uncorrected formation energy (eV/atom) = -0.49


Record 9
YAlO3 | PBE-GGA | relaxed

Unit cell a=5.244 b=5.244 c=5.244 alpha=60.88 beta=60.88 gamma=60.88
Positions (direct):
Y 0.250 0.250 0.250
Y 0.750 0.750 0.750
Al 0.000 0.000 0.000
Al 0.500 0.500 0.500
O 0.175 0.750 0.325
O 0.250 0.675 0.825
O 0.325 0.175 0.750
O 0.675 0.825 0.250
O 0.750 0.325 0.175
O 0.825 0.250 0.675

Output
- DOS at the Fermi energy (states/eV/atom) = 0.00
- total magnetization (μB per atom) = 0.000
- electronic total energy (eV per formula unit) = -41.46
- uncorrected formation energy (eV/atom) = -3.28


Record 10
YAl2O | PBE-GGA | relaxed

Unit cell a=6.051 b=6.051 c=8.510 alpha=90.00 beta=90.00 gamma=90.00
Positions (direct):
Y 0.000 0.000 0.000
Y 0.000 0.500 0.250
Y 0.500 0.000 0.750
Y 0.500 0.500 0.500
Al 0.076 0.250 0.625
Al 0.250 0.576 0.875
Al 0.250 0.924 0.375
Al 0.424 0.250 0.125
Al 0.576 0.750 0.125
Al 0.750 0.076 0.375
Al 0.750 0.424 0.875
Al 0.924 0.750 0.625
O 0.000 0.000 0.500
O 0.000 0.500 0.750
O 0.500 0.000 0.250
O 0.500 0.500 0.000

Output
- DOS at the Fermi energy (states/eV/atom) = 0.43
- total magnetization (μB per atom) = 0.000
- electronic total energy (eV per formula unit) = -22.17
- uncorrected formation energy (eV/atom) = -0.82


Record 11
YAl2O4 | PBE-GGA | relaxed

Unit cell a=4.933 b=4.933 c=7.944 alpha=90.00 beta=90.00 gamma=117.99
Positions (direct):
Y 0.000 0.000 0.250
Y 0.000 0.000 0.750
Al 0.298 0.696 0.000
Al 0.304 0.702 0.500
Al 0.696 0.298 0.500
Al 0.702 0.304 0.000
O 0.000 0.500 0.161
O 0.000 0.500 0.839
O 0.073 0.290 0.500
O 0.290 0.073 0.000
O 0.500 0.000 0.339
O 0.500 0.000 0.661
O 0.710 0.927 0.000
O 0.927 0.710 0.500

Output
- DOS at the Fermi energy (states/eV/atom) = 0.12
- total magnetization (μB per atom) = 0.000
- electronic total energy (eV per formula unit) = -53.04
- uncorrected formation energy (eV/atom) = -2.75


Record 12
YAlO2 | PBE-GGA | relaxed

Unit cell a=4.954 b=4.954 c=9.436 alpha=90.00 beta=90.00 gamma=90.00
Positions (direct):
Y 0.000 0.000 0.000
Y 0.000 0.500 0.250
Y 0.500 0.000 0.750
Y 0.500 0.500 0.500
Al 0.000 0.000 0.500
Al 0.000 0.500 0.750
Al 0.500 0.000 0.250
Al 0.500 0.500 0.000
O 0.150 0.250 0.625
O 0.250 0.650 0.875
O 0.250 0.850 0.375
O 0.350 0.250 0.125
O 0.650 0.750 0.125
O 0.750 0.150 0.375
O 0.750 0.350 0.875
O 0.850 0.750 0.625

Output
- DOS at the Fermi energy (states/eV/atom) = 0.33
- total magnetization (μB per atom) = 0.443
- electronic total energy (eV per formula unit) = -28.86
- uncorrected formation energy (eV/atom) = -2.18